1.
Mg5Tl4Pd: relaxed, PBE-GGA.

**Size of the total moment**: 0.0 μB per formula unit
**Electronic total energy**: -2.42 eV per atom
**Formation energy from the elements**: -0.158 eV per atom

a b c (Å): 3.3579 3.3579 20.4703
angles (deg): 90.00 90.00 90.00
Positions (direct):
Mg (0.5000, 0.5000, 0.0720)
Mg (0.5000, 0.5000, 0.2882)
Mg (0.5000, 0.5000, 0.5000)
Mg (0.5000, 0.5000, 0.7118)
Mg (0.5000, 0.5000, 0.9280)
Tl (0.0000, 0.0000, 0.1829)
Tl (0.0000, 0.0000, 0.3938)
Tl (0.0000, 0.0000, 0.6062)
Tl (0.0000, 0.0000, 0.8171)
Pd (0.0000, 0.0000, 0.0000)

---

2.
Mg6Tl3Pd: relaxed, PBE-GGA.

**Size of the total moment**: 0.0 μB per formula unit
**Electronic total energy**: -2.34 eV per atom
**Formation energy from the elements**: -0.149 eV per atom

a b c (Å): 4.7149 8.7536 11.3002
angles (deg): 90.00 90.00 90.00
Positions (direct):
Mg (0.5000, 0.1508, 0.9379)
Mg (0.5000, 0.2111, 0.6046)
Mg (0.5000, 0.4730, 0.2666)
Mg (0.5000, 0.5270, 0.7334)
Mg (0.5000, 0.7889, 0.3954)
Mg (0.5000, 0.8492, 0.0621)
Mg (0.0000, 0.3492, 0.4380)
Mg (0.0000, 0.2889, 0.1046)
Mg (0.0000, 0.0270, 0.7666)
Mg (0.0000, 0.9730, 0.2334)
Mg (0.0000, 0.7111, 0.8954)
Mg (0.0000, 0.6508, 0.5620)
Tl (0.5000, 0.8504, 0.6982)
Tl (0.5000, 0.5000, 0.0000)
Tl (0.5000, 0.1496, 0.3018)
Tl (0.0000, 0.6496, 0.1982)
Tl (0.0000, 0.0000, 0.5000)
Tl (0.0000, 0.3504, 0.8018)
Pd (0.5000, 0.5000, 0.5000)
Pd (0.0000, 0.0000, 0.0000)

---

3.
MgTlPd4: relaxed, PBE-GGA.

**Size of the total moment**: 0.0 μB per formula unit
**Electronic total energy**: -4.46 eV per atom
**Formation energy from the elements**: -0.342 eV per atom

a b c (Å): 3.0337 5.0182 7.3418
angles (deg): 99.54 78.08 72.41
Positions (direct):
Mg (0.5000, 0.5000, 0.5000)
Tl (0.0000, 0.0000, 0.0000)
Pd (0.8433, 0.4911, 0.8224)
Pd (0.3214, 0.0161, 0.3412)
Pd (0.1567, 0.5089, 0.1776)
Pd (0.6786, 0.9839, 0.6588)

---

4.
Mg2TlPd: relaxed, PBE-GGA.

**Size of the total moment**: 0.0 μB per formula unit
**Electronic total energy**: -2.93 eV per atom
**Formation energy from the elements**: -0.239 eV per atom

a b c (Å): 4.6036 4.6036 5.3515
angles (deg): 64.52 64.52 60.00
Positions (direct):
Mg (0.0445, 0.0445, 0.8664)
Mg (0.2726, 0.2726, 0.1823)
Tl (0.4894, 0.4894, 0.5318)
Pd (0.6935, 0.6935, 0.9195)